Entry from Alexandria via LeMat-Bulk: a relaxed structure of InAs3O (PBEsol).

The density of states at the Fermi level is 2.51 states/eV/cell. The calculation puts the total energy at -4.53 eV/atom.

```
data_InAs3O
_chemical_formula_sum 'In1 As3 O1'
_cell_length_a 4.440
_cell_length_b 4.440
_cell_length_c 4.440
_cell_angle_alpha 90.00
_cell_angle_beta 90.00
_cell_angle_gamma 90.00
_symmetry_space_group_name_H-M 'P m -3 m'
_symmetry_Int_Tables_number 221
_symmetry_space_group_name_Hall '-P 4 2 3'
loop_
_atom_site_label
_atom_site_fract_x
_atom_site_fract_y
_atom_site_fract_z
_atom_site_occupancy
In1 0.000 0.000 0.000 1
As1 0.000 0.500 0.500 1
O1 0.500 0.500 0.500 1
```

Entry from Alexandria via LeMat-Bulk: a relaxed structure of Hf2FeGe2 (PBEsol).

The density of states at the Fermi level is 6.32 states/eV/cell. The value obtained for the formation energy is -13.93 kcal/mol of atoms. The calculation puts the total energy at -8.57 eV/atom.

```
data_Hf2FeGe2
_chemical_formula_sum 'Hf4 Fe2 Ge4'
_cell_length_a 6.213
_cell_length_b 6.213
_cell_length_c 4.131
_cell_angle_alpha 90.00
_cell_angle_beta 90.00
_cell_angle_gamma 90.00
_symmetry_space_group_name_H-M 'P 4/m b m'
_symmetry_Int_Tables_number 127
_symmetry_space_group_name_Hall '-P 4 2ab'
loop_
_atom_site_label
_atom_site_fract_x
_atom_site_fract_y
_atom_site_fract_z
_atom_site_occupancy
Hf1 0.173 0.327 0.000 1
Fe1 0.000 0.000 0.500 1
Ge1 0.142 0.642 0.500 1
```

Entry from Alexandria via LeMat-Bulk: a relaxed structure of RbGaSb2Pb (PBEsol).

The density of states at the Fermi level is 5.11 states/eV/cell. The calculation puts the total energy at -2.19 eV/atom.

```
data_RbGaSb2Pb
_chemical_formula_sum 'Rb1 Ga1 Sb2 Pb1'
_cell_length_a 5.956
_cell_length_b 5.956
_cell_length_c 5.895
_cell_angle_alpha 90.00
_cell_angle_beta 90.00
_cell_angle_gamma 90.00
_symmetry_space_group_name_H-M 'P 4/m m m'
_symmetry_Int_Tables_number 123
_symmetry_space_group_name_Hall '-P 4 2'
loop_
_atom_site_label
_atom_site_fract_x
_atom_site_fract_y
_atom_site_fract_z
_atom_site_occupancy
Rb1 0.000 0.000 0.000 1
Ga1 0.500 0.500 0.500 1
Sb1 0.000 0.500 0.000 1
Pb1 0.000 0.000 0.500 1
```

Entry from Alexandria via LeMat-Bulk: a relaxed structure of AgAuO2 (PBEsol).

The density of states at the Fermi level is 0.33 states/eV/cell. The calculation puts the total energy at -4.55 eV/atom.

```
data_AgAuO2
_chemical_formula_sum 'Ag2 Au2 O4'
_cell_length_a 5.360
_cell_length_b 5.217
_cell_length_c 4.153
_cell_angle_alpha 90.00
_cell_angle_beta 90.00
_cell_angle_gamma 90.00
_symmetry_space_group_name_H-M 'P m n a'
_symmetry_Int_Tables_number 53
loop_
_symmetry_equiv_pos_as_xyz
'x,y,z'
'-x,-y,-z'
'-x+1/2,-y,z+1/2'
'x+1/2,y,-z+1/2'
'x,-y,-z'
'-x,y,z'
'-x+1/2,y,-z+1/2'
'x+1/2,-y,z+1/2'
loop_
_atom_site_label
_atom_site_fract_x
_atom_site_fract_y
_atom_site_fract_z
_atom_site_occupancy
Ag1 0.000 0.000 0.000 1
Au1 0.000 0.500 0.500 1
O1 0.250 0.294 0.250 1
```

Entry from Alexandria via LeMat-Bulk: a relaxed structure of Tc3BiW (PBEsol).

The density of states at the Fermi level is 6.17 states/eV/cell. The value obtained for the formation energy is 38.01 kcal/mol of atoms. The calculation puts the total energy at -8.73 eV/atom.

```
data_Tc3BiW
_chemical_formula_sum 'Tc3 Bi1 W1'
_cell_length_a 4.696
_cell_length_b 4.696
_cell_length_c 4.696
_cell_angle_alpha 90.00
_cell_angle_beta 90.00
_cell_angle_gamma 90.00
_symmetry_space_group_name_H-M 'P m -3 m'
_symmetry_Int_Tables_number 221
_symmetry_space_group_name_Hall '-P 4 2 3'
loop_
_atom_site_label
_atom_site_fract_x
_atom_site_fract_y
_atom_site_fract_z
_atom_site_occupancy
Tc1 0.000 0.000 0.500 1
Bi1 0.500 0.500 0.500 1
W1 0.000 0.000 0.000 1
```

Entry from Alexandria via LeMat-Bulk: a relaxed structure of Nb4V3FeSe20 (PBEsol).

The density of states at the Fermi level is 9.66 states/eV/cell. The calculation puts the total energy at -6.31 eV/atom.

```
data_Nb4V3FeSe20
_chemical_formula_sum 'Nb4 V3 Fe1 Se20'
_cell_length_a 9.244
_cell_length_b 3.405
_cell_length_c 18.251
_cell_angle_alpha 90.00
_cell_angle_beta 94.00
_cell_angle_gamma 90.00
_symmetry_space_group_name_H-M 'P 1 m 1'
_symmetry_Int_Tables_number 6
loop_
_symmetry_equiv_pos_as_xyz
'x,y,z'
'x,-y,z'
loop_
_atom_site_label
_atom_site_fract_x
_atom_site_fract_y
_atom_site_fract_z
_atom_site_occupancy
Nb1 0.000 0.000 0.000 1
Nb2 0.168 0.500 0.636 1
Nb3 0.487 0.000 0.502 1
Nb4 0.686 0.500 0.136 1
V1 0.004 0.000 0.277 1
V2 0.489 0.000 0.773 1
V3 0.679 0.500 0.864 1
Fe1 0.181 0.500 0.369 1
Se1 0.021 0.000 0.404 1
Se2 0.174 0.500 0.241 1
Se3 0.174 0.500 0.938 1
Se4 0.179 0.500 0.068 1
Se5 0.271 0.500 0.497 1
Se6 0.285 0.500 0.776 1
Se7 0.363 0.000 0.363 1
Se8 0.387 0.000 0.638 1
Se9 0.503 0.000 0.070 1
Se10 0.512 0.000 0.905 1
Se11 0.518 0.000 0.201 1
Se12 0.654 0.500 0.435 1
Se13 0.656 0.500 0.731 1
Se14 0.670 0.500 0.568 1
Se15 0.782 0.500 0.998 1
Se16 0.799 0.500 0.277 1
Se17 0.882 0.000 0.860 1
Se18 0.904 0.000 0.139 1
Se19 0.989 0.000 0.568 1
Se20 0.996 0.000 0.699 1
```

Entry from Alexandria via LeMat-Bulk: a relaxed structure of MgTeIrI2 (PBEsol).

The density of states at the Fermi level is 3.29 states/eV/cell. The calculation puts the total energy at -3.47 eV/atom.

```
data_MgTeIrI2
_chemical_formula_sum 'Mg1 Te1 Ir1 I2'
_cell_length_a 5.459
_cell_length_b 5.459
_cell_length_c 5.082
_cell_angle_alpha 90.00
_cell_angle_beta 90.00
_cell_angle_gamma 90.00
_symmetry_space_group_name_H-M 'P 4/m m m'
_symmetry_Int_Tables_number 123
_symmetry_space_group_name_Hall '-P 4 2'
loop_
_atom_site_label
_atom_site_fract_x
_atom_site_fract_y
_atom_site_fract_z
_atom_site_occupancy
Mg1 0.000 0.000 0.000 1
Te1 0.500 0.500 0.000 1
Ir1 0.500 0.500 0.500 1
I1 0.000 0.500 0.500 1
```

Entry from Alexandria via LeMat-Bulk: a relaxed structure of Cu3Ni (PBEsol).

The density of states at the Fermi level is 2.27 states/eV/cell. The value obtained for the formation energy is 0.49 kcal/mol of atoms. The calculation puts the total energy at -4.77 eV/atom.

```
data_Cu3Ni
_chemical_formula_sum 'Cu3 Ni1'
_cell_length_a 2.500
_cell_length_b 4.092
_cell_length_c 4.300
_cell_angle_alpha 90.00
_cell_angle_beta 90.00
_cell_angle_gamma 90.00
_symmetry_space_group_name_H-M 'P m m 2'
_symmetry_Int_Tables_number 25
loop_
_symmetry_equiv_pos_as_xyz
'x,y,z'
'-x,-y,z'
'-x,y,z'
'x,-y,z'
loop_
_atom_site_label
_atom_site_fract_x
_atom_site_fract_y
_atom_site_fract_z
_atom_site_occupancy
Cu1 0.000 0.000 0.000 1
Cu2 0.000 0.500 0.336 1
Cu3 0.500 0.000 0.505 1
Ni1 0.500 0.500 0.837 1
```